Entry 1:
Computed, not measured: a geometry-optimized InCuI structure at the PBE level of DFT.

Results
raw formation energy	0.1118	eV/atom
density of states at the Fermi level	1.185	states/eV per cell

a b c (Å): 3.941 3.941 11.946
angles (deg): 90.00 90.00 120.00
Fractional positions:
In1 0.000 0.000 0.364
In2 0.000 0.000 0.636
Cu1 0.333 0.667 0.500
Cu2 0.000 0.000 0.000
I1 0.333 0.667 0.150
I2 0.333 0.667 0.850



Entry 2:
Computed, not measured: a geometry-optimized TlP2HO7 structure at the PBE level of DFT.

Results
density of states at the Fermi level	0.000	states/eV per cell
E	-0.233	Ha/atom

a b c (Å): 9.108 7.394 10.127
angles (deg): 60.42 90.00 90.00
Fractional positions:
O1 0.059 0.700 0.824
O2 0.183 0.364 0.915
O3 0.559 0.300 0.676
O4 0.467 0.519 0.165
O5 0.723 0.325 0.327
O6 0.332 0.068 0.795
O7 0.994 0.000 0.136
O8 0.494 0.000 0.364
O9 0.967 0.481 0.335
O10 0.277 0.675 0.673
O11 0.683 0.636 0.585
O12 0.413 0.070 0.099
O13 0.587 0.930 0.901
O14 0.006 0.000 0.864
O15 0.941 0.300 0.176
O16 0.317 0.364 0.415
O17 0.168 0.068 0.295
O18 0.832 0.932 0.705
O19 0.087 0.070 0.599
O20 0.506 0.000 0.636
O21 0.033 0.519 0.665
O22 0.533 0.481 0.835
O23 0.777 0.325 0.827
O24 0.223 0.675 0.173
O25 0.441 0.700 0.324
O26 0.913 0.930 0.401
O27 0.817 0.636 0.085
O28 0.668 0.932 0.205
H1 0.441 0.554 0.782
H2 0.559 0.446 0.218
H3 0.059 0.554 0.282
H4 0.941 0.446 0.718
P1 0.495 0.064 0.762
P2 0.643 0.443 0.731
P3 0.005 0.064 0.262
P4 0.995 0.936 0.738
P5 0.857 0.443 0.231
P6 0.505 0.936 0.238
P7 0.357 0.557 0.269
P8 0.143 0.557 0.769
Tl1 0.791 0.976 0.000
Tl2 0.209 0.024 0.000
Tl3 0.709 0.976 0.500
Tl4 0.291 0.024 0.500



Entry 3:
Computed, not measured: a geometry-optimized NdTmAgSn structure at the PBE level of DFT.

Results
density of states at the Fermi level	4.103	states/eV per cell
formation energy	-0.4904	eV per atom

a b c (Å): 5.289 5.289 5.289
angles (deg): 60.00 60.00 60.00
Fractional positions:
Ag1 0.750 0.750 0.750
Tm1 0.000 0.000 0.000
Sn1 0.250 0.250 0.250
Nd1 0.500 0.500 0.500



Entry 4:
Computed, not measured: a geometry-optimized SrMg2Te structure at the PBE level of DFT.

Results
raw formation energy	-0.4876	eV/atom
density of states at the Fermi level	2.222	states/eV per cell

a b c (Å): 4.647 4.654 5.612
angles (deg): 90.00 90.00 90.00
Fractional positions:
Sr1 0.500 0.000 0.500
Te1 0.000 0.500 0.500
Mg1 0.000 0.000 0.000
Mg2 0.500 0.500 0.000



Entry 5:
Computed, not measured: a geometry-optimized Ac2Si3HgPt12 structure at the PBE level of DFT.

Results
raw formation energy	-0.4501	eV/atom
density of states at the Fermi level	6.857	states/eV per cell

a b c (Å): 7.877 7.877 7.877
angles (deg): 64.08 64.08 64.08
Fractional positions:
Si1 0.000 0.500 0.000
Si2 0.500 0.000 0.000
Si3 0.000 0.000 0.500
Pt1 0.611 0.131 0.131
Pt2 0.131 0.131 0.611
Pt3 0.099 0.652 0.652
Pt4 0.869 0.389 0.869
Pt5 0.348 0.901 0.348
Pt6 0.389 0.869 0.869
Pt7 0.869 0.869 0.389
Pt8 0.131 0.611 0.131
Pt9 0.348 0.348 0.901
Pt10 0.652 0.652 0.099
Pt11 0.652 0.099 0.652
Pt12 0.901 0.348 0.348
Ac1 0.610 0.610 0.610
Ac2 0.390 0.390 0.390
Hg1 0.000 0.000 0.000



Entry 6:
Computed, not measured: a geometry-optimized NaPa2Nb3N8 structure at the PBE level of DFT.

Results
raw formation energy	-1.0119	eV/atom
density of states at the Fermi level	5.243	states/eV per cell

a b c (Å): 6.441 6.441 6.689
angles (deg): 61.22 61.22 60.00
Fractional positions:
Pa1 0.129 0.129 0.612
Pa2 0.499 0.499 0.502
N1 0.716 0.255 0.773
N2 0.736 0.736 0.222
N3 0.732 0.732 0.803
N4 0.255 0.716 0.773
N5 0.305 0.736 0.222
N6 0.736 0.305 0.222
N7 0.255 0.255 0.773
N8 0.261 0.261 0.217
Na1 0.874 0.874 0.377
Nb1 0.506 0.980 0.008
Nb2 0.980 0.506 0.008
Nb3 0.506 0.506 0.008



Entry 7:
Computed, not measured: a geometry-optimized Tb7CeDy4 structure at the PBE level of DFT.

Results
density of states at the Fermi level	24.235	states/eV per cell
formation energy	0.1042	eV per atom
excess energy over the best structure of this formula in the dataset	0	meV per atom

a b c (Å): 6.810 8.745 9.062
angles (deg): 83.33 94.10 47.41
Fractional positions:
Tb1 0.983 0.316 0.641
Tb2 0.500 0.000 0.000
Tb3 0.262 0.489 0.050
Tb4 0.706 0.193 0.386
Tb5 0.738 0.511 0.950
Tb6 0.017 0.684 0.359
Tb7 0.294 0.807 0.614
Dy1 0.449 0.355 0.716
Dy2 0.551 0.645 0.284
Dy3 0.230 0.162 0.316
Dy4 0.770 0.838 0.684
Ce1 0.000 0.000 0.000



Entry 8:
Computed, not measured: a geometry-optimized PmPrPdPb structure at the PBE level of DFT.

Results
density of states at the Fermi level	1.990	states/eV per cell
formation energy	-0.5750	eV per atom

a b c (Å): 5.379 5.379 5.379
angles (deg): 60.00 60.00 60.00
Fractional positions:
Pd1 0.000 0.000 0.000
Pb1 0.500 0.500 0.500
Pr1 0.750 0.750 0.750
Pm1 0.250 0.250 0.250